# Sr2ZnH5

Crystalline Sr2ZnH5 at its relaxed geometry (PBE, the Alexandria database).

Calculated values
**DOS at the Fermi energy**: 0.22 states/eV per atom
**Spin magnetization**: 0.000 μB/f.u.
**Raw total energy**: -2.97 eV per atom

Lattice parameters (Å, degrees): 5.382 5.382 7.354 90.00 90.00 90.00
Space group I4mm (No. 107)
Inequivalent atoms, fractional coordinates:
Sr 0.000 0.500 0.000
Zn 0.000 0.000 0.253
H 0.000 0.000 0.015
H 0.241 0.241 0.257

=====

# Sr4ZnH2

Crystalline Sr4ZnH2 at its relaxed geometry (PBE, the Alexandria database).

Calculated values
**DOS at the Fermi energy**: 0.53 states/eV per atom
**Spin magnetization**: 0.000 μB/f.u.
**Raw total energy**: -2.12 eV per atom

Lattice parameters (Å, degrees): 5.953 5.953 13.442 90.00 90.00 90.00
Space group I4/mmm (No. 139)
Inequivalent atoms, fractional coordinates:
Sr 0.000 0.000 0.245
Sr 0.000 0.500 0.000
Zn 0.000 0.000 0.000
H 0.000 0.000 0.418

=====

# Sr2ZnH

Crystalline Sr2ZnH at its relaxed geometry (PBE, the Alexandria database).

Calculated values
**DOS at the Fermi energy**: 0.72 states/eV per atom
**Spin magnetization**: 0.000 μB/f.u.
**Excess energy over the best structure of this formula in the dataset**: 0.0 meV/atom

Lattice parameters (Å, degrees): 7.367 7.367 8.503 90.00 90.00 90.00
Space group I-42d (No. 122)
Inequivalent atoms, fractional coordinates:
Sr 0.170 0.250 0.125
Zn 0.000 0.000 0.500
H 0.000 0.000 0.000

=====

Question: Among the records above, which one has the highest DOS at the Fermi energy?
Answer: Sr2ZnH

=====

Question: DOS at the Fermi energy of number 1 (Sr2ZnH5)?
Answer: 0.22 states/eV per atom

=====

Question: Look up the spin magnetization of the second one.
Answer: 0.000 μB/f.u.

=====

Question: What is the spin magnetization in the first record?
Answer: 0.000 μB/f.u.